## NbCoO2 (PBE+U)

Data for a geometry-optimized NbCoO2 structure.

Properties
spin magnetization: 0.30 μB per formula unit
distance to the lowest polymorph of the same formula: 25.2 kJ/mol of atoms
volume: 13.02 Å³ per atom
electronic total energy: -7.352 eV/atom

Cell and atoms, written as POSCAR:
```
NbCoO2
1.0
-2.4130 2.4130 4.4725
2.4130 -2.4130 4.4725
2.4130 2.4130 -4.4725
Nb Co O
2 2 4
Cartesian
0.0000 0.0000 0.0000 Nb
0.0000 2.4130 2.2363 Nb
2.4130 0.0000 2.2363 Co
0.0000 0.0000 4.4725 Co
1.2065 -1.1294 3.3544 O
1.2836 1.2065 1.1181 O
1.2065 3.5424 -1.1181 O
1.1294 1.2065 5.5906 O
```